(1)
ScHF3: optimized geometry, GGA-PBE.

a b c (Å): 4.0812 4.0812 4.0812
angles (deg): 90.00 90.00 90.00
With the nearest neighbours (Å) after each atom.
Space group Pm-3m (No. 221)
Asymmetric unit:
1 Sc 0.0000 0.0000 0.0000 (multiplicity 1)  6 F 2.04
2 H 0.5000 0.5000 0.5000 (multiplicity 1)  12 F 2.89
3 F 0.0000 0.0000 0.5000 (multiplicity 3)  2 Sc 2.04

Energy relative to the lowest polymorph listed for this composition, eV/atom: 0.000
V, Å³ per atom: 13.6
Total moment, μB per formula unit: 1.0

(2)
ScHF3: optimized geometry, GGA-PBE.

a b c (Å): 3.5033 3.5033 3.5033
angles (deg): 90.00 90.00 90.00
With the nearest neighbours (Å) after each atom.
Space group Pm-3m (No. 221)
Asymmetric unit:
1 Sc 0.0000 0.0000 0.0000 (multiplicity 1)  12 F 2.48
2 H 0.5000 0.5000 0.5000 (multiplicity 1)  6 F 1.75
3 F 0.0000 0.5000 0.5000 (multiplicity 3)  2 H 1.75

Energy relative to the lowest polymorph listed for this composition, eV/atom: 0.763
V, Å³ per atom: 8.6
Total moment, μB per formula unit: 0.1

(3)
ScHF: optimized geometry, GGA-PBE.

a b c (Å): 2.9038 2.9038 7.3231
angles (deg): 90.00 90.00 90.00
With the nearest neighbours (Å) after each atom.
Space group I4mm (No. 107)
Asymmetric unit:
1 Sc 0.0000 0.0000 0.0000 (multiplicity 2)  4 H 2.17, 1 F 2.20
2 H 0.0000 0.0000 0.4055 (multiplicity 2)  1 F 2.15, 4 Sc 2.17
3 F 0.0000 0.0000 0.6997 (multiplicity 2)  1 H 2.15, 1 Sc 2.20

Energy relative to the lowest polymorph listed for this composition, eV/atom: 0.191
V, Å³ per atom: 10.3
Total moment, μB per formula unit: 0.2

(4)
Sc2HF: optimized geometry, GGA-PBE.

a b c (Å): 3.3775 3.3775 19.5154
angles (deg): 90.00 90.00 120.00
With the nearest neighbours (Å) after each atom.
Space group R-3m (No. 166, hexagonal axes)
Asymmetric unit:
1 Sc 0.0000 0.0000 0.1050 (multiplicity 6)  1 F 2.05, 3 H 2.29
2 H 0.0000 0.0000 0.5000 (multiplicity 3)  6 Sc 2.29
3 F 0.0000 0.0000 0.0000 (multiplicity 3)  2 Sc 2.05

Energy relative to the lowest polymorph listed for this composition, eV/atom: 0.000
V, Å³ per atom: 16.1
Total moment, μB per formula unit: 0.0

(5)
Sc3HF: optimized geometry, GGA-PBE.

a b c (Å): 4.4321 4.4321 4.4321
angles (deg): 90.00 90.00 90.00
With the nearest neighbours (Å) after each atom.
Space group Pm-3m (No. 221)
Asymmetric unit:
1 Sc 0.0000 0.0000 0.5000 (multiplicity 3)  2 H 2.22
2 H 0.0000 0.0000 0.0000 (multiplicity 1)  6 Sc 2.22
3 F 0.5000 0.5000 0.5000 (multiplicity 1)  12 Sc 3.13

Energy relative to the lowest polymorph listed for this composition, eV/atom: 0.000
V, Å³ per atom: 17.4
Total moment, μB per formula unit: 1.0

(6)
ScTaH2F: optimized geometry, GGA-PBE.

a b c (Å): 3.4569 3.4569 5.7940
angles (deg): 90.00 90.00 90.00
With the nearest neighbours (Å) after each atom.
Space group P4/mmm (No. 123)
Asymmetric unit:
1 Sc 0.0000 0.0000 0.0000 (multiplicity 1)  4 F 2.44
2 Ta 0.0000 0.0000 0.5000 (multiplicity 1)  4 H 1.73
3 H 0.0000 0.5000 0.5000 (multiplicity 2)  2 Ta 1.73
4 F 0.5000 0.5000 0.0000 (multiplicity 1)  4 Sc 2.44

V, Å³ per atom: 13.8
Total moment, μB per formula unit: 0.0
Energy, eV/atom: -5.702

(7)
HSe2F: optimized geometry, GGA-PBE.

a b c (Å): 3.1782 6.7574 7.1297
angles (deg): 92.46 100.20 102.52
With the nearest neighbours (Å) after each atom.
Space group P-1 (No. 2)
Asymmetric unit:
1 H 0.0001 0.1119 0.1439 (multiplicity 2)  1 F 1.25
2 Se 0.0525 0.2686 0.3385 (multiplicity 2)  1 H 1.67
3 Se 0.1044 0.5693 0.1579 (multiplicity 2)  2 Se 2.33-2.44
4 F 0.0000 0.0000 0.0000 (multiplicity 1)  2 H 1.25
5 F 0.0000 0.0000 0.5000 (multiplicity 1)  2 Se 2.18

Energy relative to the lowest polymorph listed for this composition, eV/atom: 0.269
V, Å³ per atom: 18.3
Total moment, μB per formula unit: 0.0

(8)
HSeF2: optimized geometry, GGA-PBE.

a b c (Å): 4.1764 3.5103 8.5781
angles (deg): 90.00 92.16 90.00
With the nearest neighbours (Å) after each atom.
Space group Pm (No. 6)
Asymmetric unit:
1 H 0.0000 0.0000 0.0000 (multiplicity 1)  1 F 1.01
2 H 0.4965 0.0000 0.0263 (multiplicity 1)  1 F 1.00
3 Se 0.2010 0.0000 0.4764 (multiplicity 1)  2 F 2.42, 2 Se 2.45
4 Se 0.5306 0.5000 0.6018 (multiplicity 1)  1 F 1.84
5 F 0.2915 0.5000 0.7777 (multiplicity 1)  1 Se 1.84
6 F 0.2929 0.0000 0.0845 (multiplicity 1)  1 H 1.00
7 F 0.7840 0.0000 0.9437 (multiplicity 1)  1 H 1.01
8 F 0.8318 0.5000 0.3974 (multiplicity 1)  3 Se 2.20-2.42

Energy relative to the lowest polymorph listed for this composition, eV/atom: 0.017
V, Å³ per atom: 15.7
Total moment, μB per formula unit: 0.0